Entry 1:
# LaMg2Au2

A relaxed LaMg2Au2 crystal (PBE-GGA, the Alexandria database).

POSCAR file:
```
LaMg2Au2
1.0
8.3365 0.0000 0.0000
0.0000 8.3365 0.0000
0.0000 0.0000 3.0929
Mg Au La
4 4 2
Cartesian
1.0272 3.1410 0.0000
5.1955 1.0272 0.0000
7.3093 5.1955 0.0000
3.1410 7.3093 0.0000
2.7334 1.4349 1.5465
5.6031 6.9016 1.5465
6.9016 2.7334 1.5465
1.4349 5.6031 1.5465
0.0000 0.0000 0.0000
4.1682 4.1682 0.0000
```

Calculated volume: 215.0 Å³ per cell
Distance to the lowest polymorph of the same formula: 0.81 eV per formula unit

Entry 2:
# SrPb3

A relaxed SrPb3 crystal (PBE-GGA, the Alexandria database).

POSCAR file:
```
SrPb3
1.0
6.1029 -0.1280 0.0000
-1.9083 5.7983 0.0000
0.0000 0.0000 3.7178
Pb Sr
3 1
Cartesian
3.0515 -0.0640 1.8589
2.0973 2.8351 0.0000
-0.9541 2.8992 1.8589
0.0000 0.0000 0.0000
```

Calculated volume: 130.7 Å³ per cell
Raw total energy: -3.477 eV per atom